{
  "formula": "Rb5SnCl8",
  "functional": "PBE",
  "state": "relaxed",
  "formation_energy_uncorrected_kj_per_mol_fu": -2134,
  "vol_a3_per_atom": 33.7,
  "lattice": [[8.070, 0.000, -2.657], [-4.082, 6.856, -2.919], [0.094, 0.000, 8.495]],
  "species": ["Rb", "Rb", "Rb", "Rb", "Rb", "Sn", "Cl", "Cl", "Cl", "Cl", "Cl", "Cl", "Cl", "Cl"],
  "fractional_positions": [[0.395, 0.136, 0.995], [0.859, 0.864, 0.259], [0.005, 0.400, 0.141], [0.741, 0.600, 0.605], [0.500, 0.000, 0.500], [0.250, 0.500, 0.750], [0.045, 0.187, 0.750], [0.777, 0.241, 0.370], [0.563, 0.813, 0.858], [0.250, 0.295, 0.437], [0.630, 0.407, 0.871], [0.464, 0.593, 0.223], [0.129, 0.759, 0.536], [0.142, 0.705, 0.955]]
}

***

{
  "formula": "Ac2Ga2Pd5",
  "functional": "PBE",
  "state": "relaxed",
  "formation_energy_ev_per_fu": -7.0,
  "vol_a3_per_atom": 20.7,
  "lattice": [[4.493, 0.000, 0.000], [0.000, 4.493, 0.000], [0.000, 0.000, 9.236]],
  "species": ["Pd", "Pd", "Pd", "Pd", "Pd", "Ac", "Ac", "Ga", "Ga"],
  "fractional_positions": [[0.000, 0.500, 0.273], [0.500, 0.500, 0.500], [0.000, 0.500, 0.727], [0.500, 0.000, 0.727], [0.500, 0.000, 0.273], [0.000, 0.000, 0.500], [0.000, 0.000, 0.000], [0.500, 0.500, 0.149], [0.500, 0.500, 0.851]]
}

***

{
  "formula": "PuUGe2",
  "functional": "PBE",
  "state": "relaxed",
  "formation_energy_ev_per_fu": -0.9,
  "polymorph_energy_mev_per_atom": 80,
  "vol_a3_per_atom": 21.9,
  "lattice": [[4.985, 0.000, 0.000], [2.493, 4.317, 0.000], [2.493, 1.439, 4.070]],
  "species": ["Pu", "U", "Ge", "Ge"],
  "fractional_positions": [[0.000, 0.000, 0.000], [0.500, 0.500, 0.500], [0.250, 0.250, 0.250], [0.750, 0.750, 0.750]]
}

***

{
  "formula": "Tm6GaTe3",
  "functional": "PBE",
  "state": "relaxed",
  "formation_energy_uncorrected_kj_per_mol_fu": -753,
  "vol_a3_per_atom": 28.4,
  "lattice": [[-0.812, 3.556, 1.545], [-4.118, -5.220, 9.850], [12.068, 1.737, 2.341]],
  "species": ["Te", "Te", "Te", "Te", "Te", "Te", "Ga", "Ga", "Tm", "Tm", "Tm", "Tm", "Tm", "Tm", "Tm", "Tm", "Tm", "Tm", "Tm", "Tm"],
  "fractional_positions": [[0.750, 0.384, 0.860], [0.250, 0.840, 0.955], [0.250, 0.616, 0.140], [0.750, 0.674, 0.511], [0.250, 0.326, 0.489], [0.750, 0.160, 0.045], [0.750, 0.044, 0.685], [0.250, 0.956, 0.315], [0.250, 0.582, 0.882], [0.250, 0.049, 0.864], [0.250, 0.893, 0.543], [0.250, 0.210, 0.242], [0.750, 0.790, 0.758], [0.250, 0.239, 0.699], [0.750, 0.951, 0.136], [0.750, 0.107, 0.457], [0.250, 0.511, 0.352], [0.750, 0.418, 0.118], [0.750, 0.761, 0.301], [0.750, 0.489, 0.648]]
}

***

{
  "formula": "LaHf2Cu",
  "functional": "PBE",
  "state": "relaxed",
  "formation_energy_ev_per_fu": 1.6,
  "polymorph_energy_mev_per_atom": 0,
  "vol_a3_per_atom": 20.8,
  "lattice": [[-2.478, -1.649, 3.888], [-0.922, 2.992, 3.765], [-4.568, 1.553, 0.831]],
  "species": ["Hf", "Hf", "La", "Cu"],
  "fractional_positions": [[0.250, 0.250, 0.250], [0.750, 0.750, 0.750], [0.500, 0.500, 0.500], [0.000, 0.000, 0.000]]
}

***

{
  "formula": "SmPuSeS",
  "functional": "PBE",
  "state": "relaxed",
  "formation_energy_uncorrected_kj_per_mol_fu": -696,
  "vol_a3_per_atom": 23.9,
  "lattice": [[-1.593, 2.290, 2.933], [-3.987, 0.692, 0.088], [-2.726, -4.482, 4.813]],
  "species": ["Se", "S", "Sm", "Pu"],
  "fractional_positions": [[0.751, 0.751, 0.747], [0.248, 0.248, 0.255], [0.995, 0.995, 0.016], [0.506, 0.506, 0.483]]
}

***

{
  "formula": "Ho7Er12Mg",
  "functional": "PBE",
  "state": "relaxed",
  "formation_energy_ev_per_fu": 4.4,
  "polymorph_energy_mev_per_atom": 0,
  "vol_a3_per_atom": 31.6,
  "lattice": [[8.298, 1.241, 1.862], [-1.116, 8.316, 1.862], [-1.116, -1.485, 8.392]],
  "species": ["Er", "Er", "Er", "Er", "Er", "Er", "Er", "Er", "Er", "Er", "Er", "Er", "Ho", "Ho", "Ho", "Ho", "Ho", "Ho", "Ho", "Mg"],
  "fractional_positions": [[0.863, 0.502, 0.383], [0.738, 0.856, 0.250], [0.502, 0.383, 0.863], [0.383, 0.863, 0.502], [0.144, 0.750, 0.262], [0.498, 0.617, 0.137], [0.250, 0.738, 0.856], [0.137, 0.498, 0.617], [0.262, 0.144, 0.750], [0.750, 0.262, 0.144], [0.617, 0.137, 0.498], [0.856, 0.250, 0.738], [0.849, 0.603, 0.927], [0.500, 0.500, 0.500], [0.603, 0.927, 0.849], [0.151, 0.397, 0.073], [0.927, 0.849, 0.603], [0.397, 0.073, 0.151], [0.073, 0.151, 0.397], [0.000, 0.000, 0.000]]
}

***

{
  "formula": "Na2NdPaS4",
  "functional": "PBE",
  "state": "relaxed",
  "formation_energy_uncorrected_kj_per_mol_fu": -1235,
  "vol_a3_per_atom": 23.8,
  "lattice": [[4.012, 0.000, 0.000], [0.000, 7.010, 0.136], [0.000, -2.435, 6.727]],
  "species": ["S", "S", "S", "S", "Na", "Na", "Pa", "Nd"],
  "fractional_positions": [[0.000, 0.736, 0.233], [0.500, 0.744, 0.764], [0.000, 0.264, 0.767], [0.500, 0.256, 0.236], [0.000, 0.500, 0.500], [0.500, 0.000, 0.500], [0.500, 0.500, 0.000], [0.000, 0.000, 0.000]]
}

***

Listing size of the total moment for the structures above in their given order: 0.84; 0.00; 8.68; 0.00; 0.00; 5.73; 0.00; 1.87 μB/cell.